No. 1
8
Lattice="-2.5575 2.5575 7.4998 2.5575 -2.5575 7.4998 2.5575 2.5575 -7.4998" Properties=species:S:1:pos:R:3 comment="LaCrAs2 (GGA-PBE, relaxed)" sg=I-42d magnetic_moment_mub_per_cell=0.00 crystal_system=tetragonal polymorph_energy_ev_per_atom=0.515 pbc="T T T"
La 0.0000 0.0000 0.0000
La 0.0000 2.5575 3.7499
Cr 2.5575 0.0000 3.7499
Cr 0.0000 0.0000 7.4998
As 1.2787 -0.3579 5.6249
As 2.1995 1.2787 1.8750
As 1.2787 2.9154 -1.8750
As 0.3579 1.2787 9.3748

***

No. 2
4
Lattice="4.0974 0.0000 0.0000 0.0000 4.0974 0.0000 0.0000 0.0000 5.9617" Properties=species:S:1:pos:R:3 comment="LaCrAs2 (GGA-PBE, relaxed)" sg=P4mm magnetic_moment_mub_per_cell=3.03 crystal_system=tetragonal polymorph_energy_ev_per_atom=0.351 pbc="T T T"
La 0.0000 0.0000 0.0000
Cr 2.0487 2.0487 2.9057
As 0.0000 0.0000 3.0205
As 2.0487 2.0487 0.3872

***

No. 3
4
Lattice="2.8905 -3.1243 0.0000 2.8905 3.1243 0.0000 0.0000 0.0000 4.5724" Properties=species:S:1:pos:R:3 comment="LaCr2As (GGA-PBE, relaxed)" sg=Cmmm magnetic_moment_mub_per_cell=0.00 crystal_system=orthorhombic pbc="T T T"
La 0.0000 0.0000 0.0000
Cr 2.8905 0.9529 2.2862
Cr 2.8905 -0.9529 2.2862
As 2.8905 0.0000 0.0000

***

No. 4
4
Lattice="3.5644 0.0000 0.0000 0.0000 3.9931 0.0000 -0.4085 0.0000 6.0186" Properties=species:S:1:pos:R:3 comment="LaCr2As (GGA-PBE, relaxed)" sg=Pm magnetic_moment_mub_per_cell=0.41 crystal_system=monoclinic pbc="T T T"
La 0.0000 0.0000 0.0000
Cr -0.0030 1.9965 3.2384
Cr 1.7341 0.0000 3.1163
As 1.7793 1.9965 1.4413

***

No. 5
6
Lattice="0.0000 4.0227 4.0227 4.0227 0.0000 4.0227 4.0227 4.0227 0.0000" Properties=species:S:1:pos:R:3 comment="LaCrAs4 (GGA-PBE, relaxed)" sg=F-43m magnetic_moment_mub_per_cell=4.60 crystal_system=cubic pbc="T T T"
La 0.0000 0.0000 0.0000
Cr 2.0113 2.0113 2.0113
As 5.0092 3.0362 3.0362
As 3.0362 5.0092 3.0362
As 3.0362 3.0362 5.0092
As 5.0092 5.0092 5.0092

***

No. 6
4
Lattice="3.0380 -5.0447 0.0000 3.0380 5.0447 0.0000 -1.7360 0.0000 2.8144" Properties=species:S:1:pos:R:3 comment="LaCr2As (GGA-PBE, relaxed)" sg=C2/m magnetic_moment_mub_per_cell=7.70 crystal_system=monoclinic pbc="T T T"
La 0.0000 0.0000 0.0000
Cr 0.6510 2.5224 1.4072
Cr 0.6510 -2.5224 1.4072
As 3.0380 0.0000 0.0000

***

No. 7
3
Lattice="4.4041 0.0000 0.0000 -2.2021 3.8141 0.0000 0.0000 0.0000 4.1933" Properties=species:S:1:pos:R:3 comment="LaCrAs (GGA-PBE, relaxed)" sg=P-6m2 magnetic_moment_mub_per_cell=4.10 crystal_system=hexagonal pbc="T T T"
La 0.0000 0.0000 0.0000
Cr 2.2021 1.2714 2.0967
As 0.0000 2.5427 2.0967

***

No. 8
4
Lattice="-2.0735 2.9827 3.6532 2.0735 -2.9827 3.6532 2.0735 2.9827 -3.6532" Properties=species:S:1:pos:R:3 comment="LaCrAs2 (GGA-PBE, relaxed)" sg=Immm magnetic_moment_mub_per_cell=3.11 crystal_system=orthorhombic polymorph_energy_ev_per_atom=0.192 pbc="T T T"
La 0.0000 0.0000 0.0000
Cr 0.0000 0.0000 3.6532
As 2.0735 0.0000 2.1657
As 0.0000 2.9827 1.4875

***

No. 9
8
Lattice="-2.2478 2.2478 8.7402 2.2478 -2.2478 8.7402 2.2478 2.2478 -8.7402" Properties=species:S:1:pos:R:3 comment="LaCr2As (GGA-PBE, relaxed)" sg=I4_1/amd magnetic_moment_mub_per_cell=6.93 crystal_system=tetragonal pbc="T T T"
La 2.2478 1.1239 2.1850
La 0.0000 1.1239 6.5551
Cr 0.0000 0.0000 0.0000
Cr 1.1239 1.1239 -4.3701
Cr 1.1239 -1.1239 4.3701
Cr 0.0000 2.2478 0.0000
As 2.2478 -1.1239 6.5551
As 0.0000 3.3717 2.1850

***

No. 10
4
Lattice="4.3363 -1.6721 0.0000 4.3363 1.6721 0.0000 -1.1405 0.0000 5.2760" Properties=species:S:1:pos:R:3 comment="LaCr2As (GGA-PBE, relaxed)" sg=C2/m magnetic_moment_mub_per_cell=0.00 crystal_system=monoclinic pbc="T T T"
La 0.0000 0.0000 0.0000
Cr 1.3183 0.0000 3.3158
Cr 6.2138 0.0000 1.9602
As 3.7660 0.0000 2.6380

***

No. 11
4
Lattice="-1.7804 1.9013 6.6160 1.7804 -1.9013 6.6160 1.7804 1.9013 -6.6160" Properties=species:S:1:pos:R:3 comment="LaCrAs2 (GGA-PBE, relaxed)" sg=Imm2 magnetic_moment_mub_per_cell=2.92 crystal_system=orthorhombic polymorph_energy_ev_per_atom=0.281 pbc="T T T"
La 0.0000 0.0000 0.0000
Cr 0.0000 1.9013 3.3319
As 1.7804 0.0000 4.2013
As 0.0000 0.0000 8.1300

***

No. 12
3
Lattice="0.0000 3.3767 3.3767 3.3767 0.0000 3.3767 3.3767 3.3767 0.0000" Properties=species:S:1:pos:R:3 comment="LaCrAs (GGA-PBE, relaxed)" sg=F-43m magnetic_moment_mub_per_cell=4.06 crystal_system=cubic pbc="T T T"
La 0.0000 0.0000 0.0000
Cr 3.3767 3.3767 3.3767
As 1.6883 1.6883 1.6883

***

No. 13
4
Lattice="4.0424 0.0000 0.0000 0.0000 4.9040 0.0000 0.0000 0.0000 4.9045" Properties=species:S:1:pos:R:3 comment="LaCrAs2 (GGA-PBE, relaxed)" sg=Pmm2 magnetic_moment_mub_per_cell=3.20 crystal_system=orthorhombic polymorph_energy_ev_per_atom=0.244 pbc="T T T"
La 0.0000 0.0000 0.0000
Cr 2.0212 2.4520 2.4409
As 2.0212 0.0000 2.4535
As 2.0212 2.4520 4.8952

***

No. 14
4
Lattice="2.0400 1.1778 6.0910 -2.0400 1.1778 6.0910 0.0000 -2.3555 6.0910" Properties=species:S:1:pos:R:3 comment="LaCrAs2 (GGA-PBE, relaxed)" sg=R-3m magnetic_moment_mub_per_cell=2.87 crystal_system=trigonal polymorph_energy_ev_per_atom=0.000 pbc="T T T"
La 0.0000 0.0000 0.0000
Cr 0.0000 0.0000 9.1365
As 0.0000 0.0000 4.2104
As 0.0000 0.0000 14.0625

***

No. 15
4
Lattice="0.0000 3.4024 3.4024 3.4024 0.0000 3.4024 3.4024 3.4024 0.0000" Properties=species:S:1:pos:R:3 comment="LaCrAs2 (GGA-PBE, relaxed)" sg=Fm-3m magnetic_moment_mub_per_cell=0.00 crystal_system=cubic polymorph_energy_ev_per_atom=0.614 pbc="T T T"
La 0.0000 0.0000 0.0000
Cr 3.4024 3.4024 3.4024
As 1.7012 1.7012 1.7012
As 5.1036 5.1036 5.1036

***

No. 16
5
Lattice="4.6627 0.0000 0.0000 0.0000 4.6627 0.0000 0.0000 0.0000 4.6627" Properties=species:S:1:pos:R:3 comment="LaCr3As (GGA-PBE, relaxed)" sg=Pm-3m magnetic_moment_mub_per_cell=7.80 crystal_system=cubic polymorph_energy_ev_per_atom=0.000 pbc="T T T"
La 0.0000 0.0000 0.0000
Cr 0.0000 2.3314 2.3314
Cr 2.3314 0.0000 2.3314
Cr 2.3314 2.3314 0.0000
As 2.3314 2.3314 2.3314

***

No. 17
6
Lattice="0.0000 3.6091 3.6091 3.6091 0.0000 3.6091 3.6091 3.6091 0.0000" Properties=species:S:1:pos:R:3 comment="LaCr4As (GGA-PBE, relaxed)" sg=F-43m magnetic_moment_mub_per_cell=0.00 crystal_system=cubic pbc="T T T"
La 0.0000 0.0000 0.0000
Cr 2.7317 2.7317 2.7317
Cr 4.4865 4.4865 2.7317
Cr 4.4865 2.7317 4.4865
Cr 2.7317 4.4865 4.4865
As 5.4137 5.4137 5.4137

***

No. 18
5
Lattice="4.5422 0.0000 0.0000 0.0000 4.5422 0.0000 0.0000 0.0000 4.5422" Properties=species:S:1:pos:R:3 comment="LaCr3As (GGA-PBE, relaxed)" sg=Pm-3m magnetic_moment_mub_per_cell=0.00 crystal_system=cubic polymorph_energy_ev_per_atom=1.587 pbc="T T T"
La 0.0000 0.0000 0.0000
Cr 0.0000 0.0000 2.2711
Cr 0.0000 2.2711 0.0000
Cr 2.2711 0.0000 0.0000
As 2.2711 2.2711 2.2711

***

No. 19
5
Lattice="5.1668 0.0000 0.0000 0.0000 5.1668 0.0000 0.0000 0.0000 5.1668" Properties=species:S:1:pos:R:3 comment="La3CrAs (GGA-PBE, relaxed)" sg=Pm-3m magnetic_moment_mub_per_cell=0.00 crystal_system=cubic pbc="T T T"
La 0.0000 0.0000 2.5834
La 0.0000 2.5834 0.0000
La 2.5834 0.0000 0.0000
Cr 0.0000 0.0000 0.0000
As 2.5834 2.5834 2.5834

***

No. 20
4
Lattice="0.0000 3.5199 3.5199 3.5199 0.0000 3.5199 3.5199 3.5199 0.0000" Properties=species:S:1:pos:R:3 comment="LaCrAs2 (GGA-PBE, relaxed)" sg=F-43m magnetic_moment_mub_per_cell=3.78 crystal_system=cubic polymorph_energy_ev_per_atom=0.770 pbc="T T T"
La 0.0000 0.0000 0.0000
Cr 5.2798 5.2798 5.2798
As 1.7599 1.7599 1.7599
As 3.5199 3.5199 3.5199

***

Going through the records in order, we get ρ values of 5.8, 5.7, 6.4, 6.2, 6.3, 6.1, 6.3, 6.3, 6.0, 6.9, 6.3, 5.7, 5.8, 6.4, 7.2, 6.1, 7.4, 6.6, 6.5, 6.5 g/cm³.
Going through the records in order, we get calculated formation energy values of -285, -449, 115, -121, -16, 415, -589, -608, 150, 71, -519, -287, -556, -800, -186, 526, 513, 2113, -155, -29 meV/atom.
Going through the records in order, we get uncorrected energy values of -6.25, -6.41, -7.09, -7.33, -5.54, -6.79, -6.99, -6.57, -7.06, -7.14, -6.48, -6.69, -6.52, -6.76, -6.15, -7.16, -7.50, -5.58, -5.97, -5.99 eV per atom.